A relaxed structure of KTaRh2. Source: Alexandria, functional GGA-PBE.

Results
Its energy of formation from the pure elements is 3.469 eV per formula unit. The space group is I-4m2.

Geometry as POSCAR:
```
KTaRh2
1.0
3.947 0.000 0.000
0.000 3.947 0.000
0.000 0.000 9.271
K Ta Rh
2 2 4
Direct
0.000 0.000 0.000 K
0.500 0.500 0.500 K
0.000 0.500 0.250 Ta
0.500 0.000 0.750 Ta
0.000 0.000 0.500 Rh
0.000 0.500 0.750 Rh
0.500 0.000 0.250 Rh
0.500 0.500 0.000 Rh
```

***

A relaxed structure of NaSmCd6. Source: Alexandria, functional GGA-PBE.

Results
Its energy of formation from the pure elements is -1.453 eV per formula unit. The space group is Amm2.

Geometry as POSCAR:
```
NaSmCd6
1.0
5.029 0.000 0.000
0.000 6.785 0.000
0.000 0.000 11.409
Na Sm Cd
2 2 12
Direct
0.000 0.000 0.000 Na
0.000 0.500 0.500 Na
0.500 0.000 0.684 Sm
0.500 0.500 0.184 Sm
0.000 0.000 0.508 Cd
0.000 0.233 0.259 Cd
0.000 0.267 0.759 Cd
0.000 0.500 0.008 Cd
0.000 0.733 0.759 Cd
0.000 0.767 0.259 Cd
0.500 0.000 0.177 Cd
0.500 0.234 0.427 Cd
0.500 0.266 0.927 Cd
0.500 0.500 0.677 Cd
0.500 0.734 0.927 Cd
0.500 0.766 0.427 Cd
```

***

A relaxed structure of Sm3YHo2. Source: Alexandria, functional GGA-PBE.

Results
Its energy of formation from the pure elements is 0.435 eV per formula unit. The space group is P2_1/m.

Geometry as POSCAR:
```
Sm3YHo2
1.0
9.658 0.000 0.000
0.000 3.558 0.000
-0.800 0.000 11.527
Sm Y Ho
6 2 4
Direct
0.076 0.250 0.119 Sm
0.239 0.250 0.860 Sm
0.401 0.250 0.603 Sm
0.599 0.750 0.397 Sm
0.761 0.750 0.140 Sm
0.924 0.750 0.881 Sm
0.242 0.750 0.354 Y
0.758 0.250 0.646 Y
0.082 0.750 0.620 Ho
0.442 0.250 0.143 Ho
0.558 0.750 0.857 Ho
0.918 0.250 0.380 Ho
```

***

A relaxed structure of LaTh4Co4. Source: Alexandria, functional GGA-PBE.

Results
Its energy of formation from the pure elements is -2.083 eV per formula unit. The space group is P4_2/n.

Geometry as POSCAR:
```
LaTh4Co4
1.0
8.733 0.000 0.000
0.000 8.733 0.000
0.000 0.000 5.599
La Th Co
2 8 8
Direct
0.250 0.250 0.250 La
0.750 0.750 0.750 La
0.062 0.659 0.188 Th
0.159 0.938 0.688 Th
0.341 0.562 0.688 Th
0.438 0.841 0.188 Th
0.562 0.159 0.812 Th
0.659 0.438 0.312 Th
0.841 0.062 0.312 Th
0.938 0.341 0.812 Th
0.046 0.619 0.677 Co
0.119 0.954 0.177 Co
0.381 0.546 0.177 Co
0.454 0.881 0.677 Co
0.546 0.119 0.323 Co
0.619 0.454 0.823 Co
0.881 0.046 0.823 Co
0.954 0.381 0.323 Co
```

***

A relaxed structure of Tb3Pm2Dy6Pu. Source: Alexandria, functional GGA-PBE.

Results
Its energy of formation from the pure elements is 0.544 eV per formula unit. The space group is C2/m.

Geometry as POSCAR:
```
Tb3Pm2Dy6Pu
1.0
3.078 -5.337 0.000
3.078 5.337 0.000
-2.064 0.000 11.555
Tb Pm Dy Pu
3 2 6 1
Direct
0.000 0.000 0.000 Tb
0.333 0.667 0.000 Tb
0.667 0.333 0.000 Tb
0.167 0.833 0.500 Pm
0.833 0.167 0.500 Pm
0.088 0.417 0.250 Dy
0.254 0.254 0.750 Dy
0.417 0.088 0.250 Dy
0.583 0.912 0.750 Dy
0.746 0.746 0.250 Dy
0.912 0.583 0.750 Dy
0.500 0.500 0.500 Pu
```

***

A relaxed structure of MnTe3Mo. Source: Alexandria, functional GGA-PBE.

Results
The space group is Pm-3m. The value obtained for the uncorrected formation energy is 1.051 eV per atom.

Geometry as POSCAR:
```
MnTe3Mo
1.0
5.006 0.000 0.000
0.000 5.006 0.000
0.000 0.000 5.006
Mn Te Mo
1 3 1
Direct
0.000 0.000 0.000 Mn
0.000 0.000 0.500 Te
0.000 0.500 0.000 Te
0.500 0.000 0.000 Te
0.500 0.500 0.500 Mo
```

***

Number 1: N(E_F) 1.217 states/eV per atom. Number 2: N(E_F) 0.438 states/eV per atom. Number 3: N(E_F) 1.501 states/eV per atom. Number 4: N(E_F) 0.820 states/eV per atom. Number 5: N(E_F) 2.060 states/eV per atom. Number 6: N(E_F) 1.876 states/eV per atom.